Material: MoP2PdS
Method: DFT, PBE
State: relaxed

As for the relative energy among the computed polymorphs: 0.619 eV per atom. The formation energy without anion corrections is 1172.0 meV per atom.

It has space group P4/mmm (No. 123), with a = 4.534 Å, b = 4.534 Å, c = 4.621 Å, α = 90.00°, β = 90.00° and γ = 90.00°. The asymmetric unit holds Mo at (0.000, 0.000, 0.000), P at (0.000, 0.500, 0.500), Pd at (0.500, 0.500, 0.500) and S at (0.500, 0.500, 0.000).

---

Material: MoP2PdS
Method: DFT, PBE
State: relaxed

As for the relative energy among the computed polymorphs: 0.000 eV per atom. The formation energy without anion corrections is 552.7 meV per atom.

It has space group P4/mmm (No. 123), with a = 4.713 Å, b = 4.713 Å, c = 4.552 Å, α = 90.00°, β = 90.00° and γ = 90.00°. The asymmetric unit holds Mo at (0.000, 0.000, 0.000), P at (0.000, 0.500, 0.000), Pd at (0.500, 0.500, 0.500) and S at (0.000, 0.000, 0.500).

---

Material: ScMo2PPd
Method: DFT, PBE
State: relaxed

For the formation energy, the calculation gives 1.22 eV per atom.

It has space group P4/mmm (No. 123), with a = 4.893 Å, b = 4.893 Å, c = 4.344 Å, α = 90.00°, β = 90.00° and γ = 90.00°. The asymmetric unit holds Sc at (0.000, 0.000, 0.000), Mo at (0.000, 0.500, 0.500), P at (0.500, 0.500, 0.000) and Pd at (0.500, 0.500, 0.500).

---

Material: PmMoP
Method: DFT, PBE
State: relaxed

For the formation energy, the calculation gives -0.76 eV per atom.

It has space group P2_1/m (No. 11), with a = 3.954 Å, b = 3.978 Å, c = 7.523 Å, α = 90.00°, β = 90.05° and γ = 90.00°. The asymmetric unit holds Pm at (0.250, 0.250, 0.153), Mo at (0.252, 0.750, 0.500) and P at (0.249, 0.250, 0.713).

---

Material: PrMoP2Ru
Method: DFT, PBE
State: relaxed

For the formation energy, the calculation gives -0.84 eV per atom.

It has space group I-4m2 (No. 119), with a = 4.200 Å, b = 4.200 Å, c = 10.020 Å, α = 90.00°, β = 90.00° and γ = 90.00°. The asymmetric unit holds Pr at (0.000, 0.000, 0.000), Mo at (0.000, 0.500, 0.250), P at (0.000, 0.000, 0.362) and Ru at (0.000, 0.500, 0.750).

---

Material: MoP3Pt
Method: DFT, PBE
State: relaxed

For the formation energy, the calculation gives 1.22 eV per atom. As for the relative energy among the computed polymorphs: 0.467 eV per atom.

It has space group Pm-3m (No. 221), with a = 4.587 Å, b = 4.587 Å, c = 4.587 Å, α = 90.00°, β = 90.00° and γ = 90.00°. The asymmetric unit holds Mo at (0.000, 0.000, 0.000), P at (0.000, 0.500, 0.500) and Pt at (0.500, 0.500, 0.500).

---

Material: Mo2PPt
Method: DFT, PBE
State: relaxed

For the formation energy, the calculation gives 0.09 eV per atom.

It has space group Pmmm (No. 47), with a = 3.373 Å, b = 4.058 Å, c = 4.407 Å, α = 90.00°, β = 90.00° and γ = 90.00°. The asymmetric unit holds Mo at (0.000, 0.000, 0.000), Mo at (0.500, 0.500, 0.000), P at (0.000, 0.500, 0.500) and Pt at (0.500, 0.000, 0.500).

---

Material: Mo2PPt
Method: DFT, PBE
State: relaxed

For the formation energy, the calculation gives -0.17 eV per atom.

It has space group Immm (No. 71), with a = 3.077 Å, b = 4.491 Å, c = 8.636 Å, α = 90.00°, β = 90.00° and γ = 90.00°. The asymmetric unit holds Mo at (0.000, 0.000, 0.218), P at (0.000, 0.500, 0.500) and Pt at (0.000, 0.500, 0.000).

---

Material: Mo2PPt
Method: DFT, PBE
State: relaxed

For the formation energy, the calculation gives -0.12 eV per atom.

It has space group P2_1/m (No. 11), with a = 5.659 Å, b = 2.828 Å, c = 7.696 Å, α = 90.00°, β = 100.43° and γ = 90.00°. The asymmetric unit holds Mo at (0.002, 0.250, 0.239), Mo at (0.492, 0.250, 0.683), P at (0.187, 0.750, 0.493) and Pt at (0.299, 0.250, 0.012).

---

Material: MoP2Pt
Method: DFT, PBE
State: relaxed

For the formation energy, the calculation gives -0.13 eV per atom.

It has space group I-42d (No. 122), with a = 5.417 Å, b = 5.417 Å, c = 10.627 Å, α = 90.00°, β = 90.00° and γ = 90.00°. The asymmetric unit holds Mo at (0.000, 0.000, 0.000), P at (0.249, 0.250, 0.625) and Pt at (0.000, 0.000, 0.500).

---

Material: MoPPt2
Method: DFT, PBE
State: relaxed

For the formation energy, the calculation gives -0.01 eV per atom.

It has space group Cmmm (No. 65), with a = 5.268 Å, b = 8.268 Å, c = 2.796 Å, α = 90.00°, β = 90.00° and γ = 90.00°. The asymmetric unit holds Mo at (0.000, 0.000, 0.000), P at (0.000, 0.500, 0.000) and Pt at (0.250, 0.250, 0.500).

---

Material: MoPPt2
Method: DFT, PBE
State: relaxed

For the formation energy, the calculation gives -0.01 eV per atom.

It has space group P4/mmm (No. 123), with a = 3.745 Å, b = 3.745 Å, c = 4.307 Å, α = 90.00°, β = 90.00° and γ = 90.00°. The asymmetric unit holds Mo at (0.000, 0.000, 0.000), P at (0.500, 0.500, 0.000) and Pt at (0.000, 0.500, 0.500).

---

Material: Mo2PPt
Method: DFT, PBE
State: relaxed

For the formation energy, the calculation gives 0.04 eV per atom.

It has space group I-4m2 (No. 119), with a = 3.837 Å, b = 3.837 Å, c = 8.103 Å, α = 90.00°, β = 90.00° and γ = 90.00°. The asymmetric unit holds Mo at (0.000, 0.000, 0.000), Mo at (0.000, 0.500, 0.250), P at (0.000, 0.500, 0.750) and Pt at (0.000, 0.000, 0.500).

---

Material: MoP2Pt
Method: DFT, PBE
State: relaxed

For the formation energy, the calculation gives -0.17 eV per atom.

It has space group P4/mmm (No. 123), with a = 4.207 Å, b = 4.207 Å, c = 3.161 Å, α = 90.00°, β = 90.00° and γ = 90.00°. The asymmetric unit holds Mo at (0.000, 0.000, 0.000), P at (0.000, 0.500, 0.500) and Pt at (0.500, 0.500, 0.000).

---

Material: MoP2Pt3
Method: DFT, PBE
State: relaxed

For the formation energy, the calculation gives -0.25 eV per atom.

It has space group Pm (No. 6), with a = 4.702 Å, b = 4.489 Å, c = 8.974 Å, α = 90.00°, β = 90.06° and γ = 90.00°. The asymmetric unit holds Mo at (0.000, 0.000, 0.000), Mo at (0.500, 0.000, 0.194), P at (0.317, 0.500, 0.594), P at (0.493, 0.000, 0.910), P at (0.786, 0.500, 0.609), P at (0.993, 0.000, 0.284), Pt at (0.096, 0.500, 0.833), Pt at (0.134, 0.500, 0.179), Pt at (0.324, 0.000, 0.499), Pt at (0.603, 0.500, 0.358), Pt at (0.633, 0.500, 0.015) and Pt at (0.828, 0.000, 0.696).

---

Material: MoPPt3
Method: DFT, PBE
State: relaxed

For the formation energy, the calculation gives 0.46 eV per atom. As for the relative energy among the computed polymorphs: 0.000 eV per atom.

It has space group Pm-3m (No. 221), with a = 4.500 Å, b = 4.500 Å, c = 4.500 Å, α = 90.00°, β = 90.00° and γ = 90.00°. The asymmetric unit holds Mo at (0.000, 0.000, 0.000), P at (0.500, 0.500, 0.500) and Pt at (0.000, 0.500, 0.500).

---

Material: Mo2PPt
Method: DFT, PBE
State: relaxed

For the formation energy, the calculation gives -0.34 eV per atom.

It has space group P4/mmm (No. 123), with a = 2.909 Å, b = 2.909 Å, c = 6.870 Å, α = 90.00°, β = 90.00° and γ = 90.00°. The asymmetric unit holds Mo at (0.000, 0.000, 0.213), P at (0.500, 0.500, 0.000) and Pt at (0.500, 0.500, 0.500).

---

Material: MoP2Pt
Method: DFT, PBE
State: relaxed

For the formation energy, the calculation gives -0.25 eV per atom.

It has space group Imm2 (No. 44), with a = 3.221 Å, b = 3.453 Å, c = 10.792 Å, α = 90.00°, β = 90.00° and γ = 90.00°. The asymmetric unit holds Mo at (0.000, 0.000, 0.000), P at (0.000, 0.000, 0.416), P at (0.000, 0.500, 0.669) and Pt at (0.000, 0.500, 0.243).

---

Material: MoP2Pt
Method: DFT, PBE
State: relaxed

For the formation energy, the calculation gives 0.38 eV per atom.

It has space group F-43m (No. 216), with a = 6.228 Å, b = 6.228 Å, c = 6.228 Å, α = 90.00°, β = 90.00° and γ = 90.00°. The asymmetric unit holds Mo at (0.000, 0.000, 0.000), P at (0.000, 0.000, 0.500), P at (0.250, 0.250, 0.750) and Pt at (0.250, 0.250, 0.250).

---

Material: MoP2Pt
Method: DFT, PBE
State: relaxed

For the formation energy, the calculation gives -0.39 eV per atom.

It has space group Amm2 (No. 38), with a = 4.524 Å, b = 3.728 Å, c = 7.914 Å, α = 90.00°, β = 90.00° and γ = 90.00°. The asymmetric unit holds Mo at (0.000, 0.000, 0.000), P at (0.000, 0.000, 0.688), P at (0.500, 0.000, 0.871) and Pt at (0.500, 0.000, 0.558).

---

Material: MoP2Pt
Method: DFT, PBE
State: relaxed

For the formation energy, the calculation gives -0.24 eV per atom.

It has space group Pmmm (No. 47), with a = 2.915 Å, b = 3.113 Å, c = 6.761 Å, α = 90.00°, β = 90.00° and γ = 90.00°. The asymmetric unit holds Mo at (0.000, 0.000, 0.000), P at (0.500, 0.500, 0.211) and Pt at (0.000, 0.500, 0.500).

---

Material: Mo2PPt
Method: DFT, PBE
State: relaxed

For the formation energy, the calculation gives -0.16 eV per atom.

It has space group P2/m (No. 10), with a = 2.823 Å, b = 3.908 Å, c = 5.557 Å, α = 90.00°, β = 102.89° and γ = 90.00°. The asymmetric unit holds Mo at (0.111, 0.000, 0.270), P at (0.500, 0.500, 0.500) and Pt at (0.500, 0.500, 0.000).

---

Material: MoPPt
Method: DFT, PBE
State: relaxed

For the formation energy, the calculation gives -0.14 eV per atom.

It has space group P3m1 (No. 156), with a = 4.1207 Å, b = 4.1207 Å, c = 3.0678 Å, α = 90.00°, β = 90.00° and γ = 120.00°. The asymmetric unit holds Mo at (0.0000, 0.0000, 0.0000), P at (0.6667, 0.3333, 0.2058) and Pt at (0.3333, 0.6667, 0.4806).

---

Material: Mo2PPt
Method: DFT, PBE
State: relaxed

For the formation energy, the calculation gives 0.00 eV per atom.

It has space group Pmmm (No. 47), with a = 2.976 Å, b = 3.922 Å, c = 5.152 Å, α = 90.00°, β = 90.00° and γ = 90.00°. The asymmetric unit holds Mo at (0.000, 0.000, 0.229), P at (0.500, 0.500, 0.000) and Pt at (0.500, 0.500, 0.500).

---

Material: MoPPt
Method: DFT, PBE
State: relaxed

For the formation energy, the calculation gives 0.04 eV per atom.

It has space group F-43m (No. 216), with a = 5.937 Å, b = 5.937 Å, c = 5.937 Å, α = 90.00°, β = 90.00° and γ = 90.00°. The asymmetric unit holds Mo at (0.000, 0.000, 0.000), P at (0.250, 0.250, 0.250) and Pt at (0.250, 0.250, 0.750).

---

Material: MoPPt
Method: DFT, PBE
State: relaxed

For the formation energy, the calculation gives -0.23 eV per atom.

It has space group C2/m (No. 12), with a = 10.961 Å, b = 3.070 Å, c = 6.982 Å, α = 90.00°, β = 129.03° and γ = 90.00°. The asymmetric unit holds Mo at (0.130, 0.000, 0.282), P at (0.092, 0.500, 0.920) and Pt at (0.151, 0.000, 0.704).

---

Material: MoP2Pt
Method: DFT, PBE
State: relaxed

For the formation energy, the calculation gives -0.33 eV per atom.

It has space group P4mm (No. 99), with a = 3.377 Å, b = 3.377 Å, c = 5.134 Å, α = 90.00°, β = 90.00° and γ = 90.00°. The asymmetric unit holds Mo at (0.000, 0.000, 0.000), P at (0.000, 0.000, 0.506), P at (0.500, 0.500, 0.155) and Pt at (0.500, 0.500, 0.627).

---

Material: MoPPt2
Method: DFT, PBE
State: relaxed

For the formation energy, the calculation gives -0.11 eV per atom.

It has space group R3m (No. 160, hexagonal axes), with a = 2.8977 Å, b = 2.8977 Å, c = 24.8673 Å, α = 90.00°, β = 90.00° and γ = 120.00°. The asymmetric unit holds Mo at (0.0000, 0.0000, 0.0000), P at (0.0000, 0.0000, 0.7378), Pt at (0.0000, 0.0000, 0.2437) and Pt at (0.0000, 0.0000, 0.4815).

---

Material: MoPPt2
Method: DFT, PBE
State: relaxed

For the formation energy, the calculation gives -0.14 eV per atom.

It has space group Imm2 (No. 44), with a = 3.695 Å, b = 4.497 Å, c = 7.349 Å, α = 90.00°, β = 90.00° and γ = 90.00°. The asymmetric unit holds Mo at (0.000, 0.000, 0.000), P at (0.000, 0.500, 0.289), Pt at (0.000, 0.000, 0.585) and Pt at (0.000, 0.500, 0.803).

---

Number 1: N(E_F) 6.45 states/eV/cell, electronic total energy -0.3691 Ry/atom. Number 2: N(E_F) 3.91 states/eV/cell, electronic total energy -0.4146 Ry/atom. Number 3: N(E_F) 8.37 states/eV/cell, electronic total energy -0.4774 Ry/atom. Number 4: N(E_F) 3.65 states/eV/cell, electronic total energy -0.5701 Ry/atom. Number 5: N(E_F) 7.47 states/eV/cell, electronic total energy -0.5868 Ry/atom. Number 6: N(E_F) 4.61 states/eV/cell, electronic total energy -0.3968 Ry/atom. Number 7: N(E_F) 3.48 states/eV/cell, electronic total energy -0.6021 Ry/atom. Number 8: N(E_F) 5.59 states/eV/cell, electronic total energy -0.6208 Ry/atom. Number 9: N(E_F) 5.34 states/eV/cell, electronic total energy -0.6169 Ry/atom. Number 10: N(E_F) 11.25 states/eV/cell, electronic total energy -0.5186 Ry/atom. Number 11: N(E_F) 6.40 states/eV/cell, electronic total energy -0.5215 Ry/atom. Number 12: N(E_F) 2.64 states/eV/cell, electronic total energy -0.5209 Ry/atom. Number 13: N(E_F) 9.50 states/eV/cell, electronic total energy -0.6053 Ry/atom. Number 14: N(E_F) 2.29 states/eV/cell, electronic total energy -0.5214 Ry/atom. Number 15: N(E_F) 7.73 states/eV/cell, electronic total energy -0.5056 Ry/atom. Number 16: N(E_F) 3.92 states/eV/cell, electronic total energy -0.4711 Ry/atom. Number 17: N(E_F) 3.71 states/eV/cell, electronic total energy -0.6336 Ry/atom. Number 18: N(E_F) 3.91 states/eV/cell, electronic total energy -0.5273 Ry/atom. Number 19: N(E_F) 14.14 states/eV/cell, electronic total energy -0.4807 Ry/atom. Number 20: N(E_F) 3.71 states/eV/cell, electronic total energy -0.5377 Ry/atom. Number 21: N(E_F) 2.14 states/eV/cell, electronic total energy -0.5262 Ry/atom. Number 22: N(E_F) 3.64 states/eV/cell, electronic total energy -0.6205 Ry/atom. Number 23: N(E_F) 1.96 states/eV/cell, electronic total energy -0.5562 Ry/atom. Number 24: N(E_F) 3.37 states/eV/cell, electronic total energy -0.6081 Ry/atom. Number 25: N(E_F) 12.90 states/eV/cell, electronic total energy -0.5426 Ry/atom. Number 26: N(E_F) 7.87 states/eV/cell, electronic total energy -0.5631 Ry/atom. Number 27: N(E_F) 2.58 states/eV/cell, electronic total energy -0.5328 Ry/atom. Number 28: N(E_F) 15.33 states/eV/cell, electronic total energy -0.5286 Ry/atom. Number 29: N(E_F) 5.63 states/eV/cell, electronic total energy -0.5310 Ry/atom.